Y3Ho3ScTe8 | PBE | relaxed

a b c (Å): 8.653 8.653 8.653
angles (deg): 59.96 59.96 59.96
Atoms (fractional coordinates):
Y  0.000  0.500  0.500
Y  0.500  0.000  0.500
Y  0.500  0.500  0.000
Ho  0.000  0.000  0.500
Ho  0.000  0.500  0.000
Ho  0.500  0.000  0.000
Sc  0.500  0.500  0.500
Te  0.249  0.249  0.249
Te  0.250  0.748  0.748
Te  0.252  0.252  0.750
Te  0.252  0.750  0.252
Te  0.748  0.250  0.748
Te  0.748  0.748  0.250
Te  0.750  0.252  0.252
Te  0.751  0.751  0.751

Summary:
DOS(E_F) = 7.37 states/eV/f.u.
Formation energy (no corrections) = -1.33 eV per atom

***

YHo2Sc3Te6 | PBE | relaxed

a b c (Å): 9.519 9.519 8.539
angles (deg): 103.00 103.00 25.79
Atoms (fractional coordinates):
Y  0.000  0.000  0.000
Ho  0.334  0.334  0.668
Ho  0.666  0.666  0.332
Sc  0.000  0.000  0.500
Sc  0.335  0.335  0.167
Sc  0.665  0.665  0.833
Te  0.164  0.164  0.590
Te  0.171  0.171  0.076
Te  0.497  0.497  0.259
Te  0.503  0.503  0.741
Te  0.829  0.829  0.924
Te  0.836  0.836  0.410

Summary:
DOS(E_F) = 7.54 states/eV/f.u.
Formation energy (no corrections) = -1.18 eV per atom

***

Y2HoScTe4 | PBE | relaxed

a b c (Å): 7.486 4.279 7.493
angles (deg): 90.00 109.05 90.00
Atoms (fractional coordinates):
Y  0.000  0.000  0.000
Y  0.500  0.500  0.000
Ho  0.000  0.500  0.500
Sc  0.500  0.000  0.500
Te  0.254  0.000  0.743
Te  0.259  0.500  0.261
Te  0.741  0.500  0.739
Te  0.746  0.000  0.257

Summary:
DOS(E_F) = 5.34 states/eV/f.u.
Formation energy (no corrections) = -1.24 eV per atom

***

Copy entry 1 word for word.
Y3Ho3ScTe8 | PBE | relaxed

a b c (Å): 8.653 8.653 8.653
angles (deg): 59.96 59.96 59.96
Atoms (fractional coordinates):
Y  0.000  0.500  0.500
Y  0.500  0.000  0.500
Y  0.500  0.500  0.000
Ho  0.000  0.000  0.500
Ho  0.000  0.500  0.000
Ho  0.500  0.000  0.000
Sc  0.500  0.500  0.500
Te  0.249  0.249  0.249
Te  0.250  0.748  0.748
Te  0.252  0.252  0.750
Te  0.252  0.750  0.252
Te  0.748  0.250  0.748
Te  0.748  0.748  0.250
Te  0.750  0.252  0.252
Te  0.751  0.751  0.751

Summary:
DOS(E_F) = 7.37 states/eV/f.u.
Formation energy (no corrections) = -1.33 eV per atom